--- a ---
Y4MgFe after structural relaxation. Source: the Alexandria database, functional PBE.

a = 9.087 Å, b = 9.087 Å, c = 5.836 Å
α = 108.63°, β = 108.63°, γ = 47.04°
Fractional coordinates of all 12 atoms:
Y 0.124 0.636 0.380
Y 0.230 0.770 0.000
Y 0.322 0.322 0.806
Y 0.364 0.876 0.620
Y 0.636 0.124 0.380
Y 0.678 0.678 0.194
Y 0.770 0.230 0.000
Y 0.876 0.364 0.620
Mg 0.193 0.193 0.190
Mg 0.807 0.807 0.810
Fe 0.485 0.485 0.670
Fe 0.515 0.515 0.330

Results
V = 331 Å³/cell
Space group = C2/m

--- b ---
Y4MgFe after structural relaxation. Source: the Alexandria database, functional PBE.

a = 6.275 Å, b = 6.275 Å, c = 6.275 Å
α = 60.00°, β = 60.00°, γ = 60.00°
Fractional coordinates of all 6 atoms:
Y 0.125 0.125 0.125
Y 0.125 0.125 0.626
Y 0.125 0.626 0.125
Y 0.626 0.125 0.125
Mg 0.500 0.500 0.500
Fe 0.750 0.750 0.750

Results
V = 175 Å³/cell
Space group = F-43m

Of them, a has the highest stability.

--- a ---
YMg14Fe after structural relaxation. Source: the Alexandria database, functional PBE.

a = 6.414 Å, b = 6.414 Å, c = 10.137 Å
α = 90.00°, β = 90.00°, γ = 120.00°
Fractional coordinates of all 16 atoms:
Y 0.000 0.000 0.000
Mg 0.014 0.507 0.000
Mg 0.162 0.324 0.266
Mg 0.162 0.324 0.734
Mg 0.162 0.838 0.266
Mg 0.162 0.838 0.734
Mg 0.493 0.507 0.000
Mg 0.493 0.986 0.000
Mg 0.504 0.008 0.500
Mg 0.504 0.496 0.500
Mg 0.667 0.333 0.238
Mg 0.667 0.333 0.762
Mg 0.676 0.838 0.266
Mg 0.676 0.838 0.734
Mg 0.992 0.496 0.500
Fe 0.000 0.000 0.500

Results
V = 361 Å³/cell
Space group = P-6m2

--- b ---
YMg14Fe after structural relaxation. Source: the Alexandria database, functional PBE.

a = 10.268 Å, b = 6.457 Å, c = 6.457 Å
α = 57.38°, β = 90.00°, γ = 90.00°
Fractional coordinates of all 16 atoms:
Y 0.000 0.000 0.000
Mg 0.000 0.010 0.493
Mg 0.000 0.493 0.010
Mg 0.221 0.634 0.634
Mg 0.247 0.152 0.644
Mg 0.247 0.644 0.152
Mg 0.260 0.151 0.151
Mg 0.500 0.486 0.486
Mg 0.500 0.490 0.980
Mg 0.500 0.980 0.490
Mg 0.500 0.983 0.983
Mg 0.740 0.151 0.151
Mg 0.753 0.152 0.644
Mg 0.753 0.644 0.152
Mg 0.779 0.634 0.634
Fe 0.000 0.475 0.475

Results
V = 361 Å³/cell
Space group = Amm2

Of them, b has the highest stability.

--- a ---
MgZnFe3 after structural relaxation. Source: the Alexandria database, functional PBE.

a = 4.443 Å, b = 4.443 Å, c = 4.443 Å
α = 90.00°, β = 90.00°, γ = 90.00°
Fractional coordinates of all 5 atoms:
Mg 0.000 0.000 0.000
Zn 0.500 0.500 0.500
Fe 0.000 0.500 0.500
Fe 0.500 0.000 0.500
Fe 0.500 0.500 0.000

Results
V = 88 Å³/cell
Space group = Pm-3m

--- b ---
MgZnFe3 after structural relaxation. Source: the Alexandria database, functional PBE.

a = 4.437 Å, b = 4.437 Å, c = 4.437 Å
α = 90.00°, β = 90.00°, γ = 90.00°
Fractional coordinates of all 5 atoms:
Mg 0.000 0.000 0.000
Zn 0.500 0.500 0.500
Fe 0.000 0.000 0.500
Fe 0.000 0.500 0.000
Fe 0.500 0.000 0.000

Results
V = 87 Å³/cell
Space group = Pm-3m

Of them, a has the highest stability.